(1)
The following is a DFT calculation (PBE) of a relaxed Gd2Tm3Hg3 crystal.

Properties
Its crystal system is monoclinic. As for the total energy: -25.7 eV per formula unit. The value obtained for the total moment is 0.15 μB/cell. The calculation puts the volume at 211 Å³/cell. As for the formation energy from the elements: -260 meV/atom.

a = 6.585 Å, b = 5.374 Å, c = 6.612 Å
α = 90.00°, β = 115.77°, γ = 90.00°
Space group Pm (No. 6)
Symmetry-distinct sites (fractional):
Gd 0.000 0.000 0.000 [1 per cell]
Gd 0.286 0.500 0.688 [1 per cell]
Tm 0.481 0.000 0.468 [1 per cell]
Tm 0.782 0.500 0.193 [1 per cell]
Tm 0.801 0.500 0.687 [1 per cell]
Hg 0.294 0.500 0.189 [1 per cell]
Hg 0.495 0.000 0.988 [1 per cell]
Hg 0.973 0.000 0.500 [1 per cell]

---

(2)
The following is a DFT calculation (PBE) of a relaxed GdUHg crystal.

Properties
Its crystal system is cubic. As for the total energy: -13.6 eV per formula unit. The value obtained for the total moment is 12.92 μB/cell. The calculation puts the volume at 360 Å³/cell. As for the formation energy from the elements: 875 meV/atom.

a = 7.115 Å, b = 7.115 Å, c = 7.115 Å
α = 90.00°, β = 90.00°, γ = 90.00°
Space group F-43m (No. 216)
Symmetry-distinct sites (fractional):
Gd 0.000 0.000 0.000 [4 per cell]
U 0.250 0.250 0.250 [4 per cell]
Hg 0.000 0.000 0.500 [4 per cell]

---

(3)
The following is a DFT calculation (PBE) of a relaxed Gd2Y3Hg3 crystal.

Properties
Its crystal system is orthorhombic. As for the total energy: -31.2 eV per formula unit. The value obtained for the total moment is 0.98 μB/cell. The calculation puts the volume at 444 Å³/cell. As for the formation energy from the elements: -196 meV/atom.

a = 5.657 Å, b = 7.384 Å, c = 10.626 Å
α = 90.00°, β = 90.00°, γ = 90.00°
Space group Amm2 (No. 38)
Symmetry-distinct sites (fractional):
Gd 0.000 0.000 0.000 [2 per cell]
Gd 0.500 0.000 0.364 [2 per cell]
Y 0.000 0.000 0.554 [2 per cell]
Y 0.500 0.242 0.621 [4 per cell]
Hg 0.000 0.210 0.275 [4 per cell]
Hg 0.500 0.000 0.870 [2 per cell]

---

(4)
The following is a DFT calculation (PBE) of a relaxed Gd2Y5Hg crystal.

Properties
Its crystal system is orthorhombic. As for the total energy: -42.2 eV per formula unit. The value obtained for the total moment is 2.69 μB/cell. The calculation puts the volume at 486 Å³/cell. As for the formation energy from the elements: -39 meV/atom.

a = 5.578 Å, b = 7.094 Å, c = 12.289 Å
α = 90.00°, β = 90.00°, γ = 90.00°
Space group Amm2 (No. 38)
Symmetry-distinct sites (fractional):
Gd 0.000 0.000 0.000 [2 per cell]
Gd 0.500 0.000 0.343 [2 per cell]
Y 0.000 0.000 0.505 [2 per cell]
Y 0.000 0.245 0.757 [4 per cell]
Y 0.500 0.244 0.586 [4 per cell]
Hg 0.500 0.000 0.836 [2 per cell]

---

(5)
The following is a DFT calculation (PBE) of a relaxed Gd2Y3Hg3 crystal.

Properties
Its crystal system is monoclinic. As for the total energy: -31.9 eV per formula unit. The value obtained for the total moment is 0.03 μB/cell. The calculation puts the volume at 216 Å³/cell. As for the formation energy from the elements: -288 meV/atom.

a = 6.529 Å, b = 5.388 Å, c = 6.646 Å
α = 90.00°, β = 112.44°, γ = 90.00°
Space group Pm (No. 6)
Symmetry-distinct sites (fractional):
Gd 0.000 0.000 0.000 [1 per cell]
Gd 0.267 0.500 0.660 [1 per cell]
Y 0.466 0.000 0.938 [1 per cell]
Y 0.528 0.000 0.456 [1 per cell]
Y 0.784 0.500 0.230 [1 per cell]
Hg 0.020 0.000 0.492 [1 per cell]
Hg 0.284 0.500 0.154 [1 per cell]
Hg 0.766 0.500 0.735 [1 per cell]

---

(6)
The following is a DFT calculation (PBE) of a relaxed Gd2Y3Hg3 crystal.

Properties
Its crystal system is hexagonal. As for the total energy: -30.9 eV per formula unit. The value obtained for the total moment is 1.10 μB/cell. The calculation puts the volume at 221 Å³/cell. As for the formation energy from the elements: -163 meV/atom.

a = 7.0231 Å, b = 7.0231 Å, c = 5.1807 Å
α = 90.00°, β = 90.00°, γ = 120.00°
Space group P-6m2 (No. 187)
Symmetry-distinct sites (fractional):
Gd 0.0000 0.0000 0.0000 [1 per cell]
Gd 0.3333 0.6667 0.5000 [1 per cell]
Y 0.5039 0.0078 0.0000 [3 per cell]
Hg 0.3400 0.1700 0.5000 [3 per cell]

---

(7)
The following is a DFT calculation (PBE) of a relaxed GdZnHg crystal.

Properties
Its crystal system is hexagonal. As for the total energy: -7.5 eV per formula unit. The value obtained for the total moment is 0.05 μB/cell. The calculation puts the volume at 68 Å³/cell. As for the formation energy from the elements: -415 meV/atom.

a = 4.7057 Å, b = 4.7057 Å, c = 3.5450 Å
α = 90.00°, β = 90.00°, γ = 120.00°
Space group P-6m2 (No. 187)
Symmetry-distinct sites (fractional):
Gd 0.0000 0.0000 0.0000 [1 per cell]
Zn 0.3333 0.6667 0.5000 [1 per cell]
Hg 0.6667 0.3333 0.5000 [1 per cell]

---

(8)
The following is a DFT calculation (PBE) of a relaxed GdZnHg crystal.

Properties
Its crystal system is cubic. As for the total energy: -7.0 eV per formula unit. The value obtained for the total moment is 0.06 μB/cell. The calculation puts the volume at 292 Å³/cell. As for the formation energy from the elements: -251 meV/atom.

a = 6.634 Å, b = 6.634 Å, c = 6.634 Å
α = 90.00°, β = 90.00°, γ = 90.00°
Space group F-43m (No. 216)
Symmetry-distinct sites (fractional):
Gd 0.000 0.000 0.000 [4 per cell]
Zn 0.250 0.250 0.250 [4 per cell]
Hg 0.000 0.000 0.500 [4 per cell]